No. 1
## PmCdIr2 (PBE)

Data for crystalline PmCdIr2 at its relaxed geometry.

a = 4.7866 Å, b = 4.7866 Å, c = 4.7866 Å
α = 60.00°, β = 60.00°, γ = 60.00°
Last column: nearest neighbours and their distance in Å.
Element x y z (fractional)
Cd 0.5000 0.5000 0.5000  8 Ir 2.93
Ir 0.2500 0.2500 0.2500  4 Cd 2.93, 4 Pm 2.93
Ir 0.7500 0.7500 0.7500  4 Pm 2.93, 4 Cd 2.93
Pm 0.0000 0.0000 0.0000  8 Ir 2.93

Properties
E_form	-0.15	eV/atom
E above lowest polymorph	96	meV per atom
calculated volume	19.4	Å³/atom
symmetry	Fm-3m (225)
total magnetic moment	0.0	μB/cell

---

No. 2
## TaPd2RhAu (PBE)

Data for crystalline TaPd2RhAu at its relaxed geometry.

a = 4.7903 Å, b = 4.8323 Å, c = 4.7903 Å
α = 90.00°, β = 90.00°, γ = 90.00°
Last column: nearest neighbours and their distance in Å.
Element x y z (fractional)
Rh 0.0000 0.5000 0.0000  2 Au 2.42
Au 0.0000 0.0000 0.0000  4 Pd 2.40, 2 Rh 2.42
Pd 0.0000 0.0000 0.5000  2 Au 2.40
Pd 0.5000 0.0000 0.0000  2 Au 2.40
Ta 0.5000 0.5000 0.5000  4 Rh 3.39, 8 Pd 3.40

Properties
E_form	1.62	eV/atom
calculated volume	22.2	Å³/atom
symmetry	P4/mmm (123)
total magnetic moment	0.0	μB/cell

---

No. 3
## InCu2ReAg (PBE)

Data for crystalline InCu2ReAg at its relaxed geometry.

a = 4.7220 Å, b = 5.0400 Å, c = 4.7220 Å
α = 90.00°, β = 90.00°, γ = 90.00°
Last column: nearest neighbours and their distance in Å.
Element x y z (fractional)
Re 0.5000 0.5000 0.5000  4 Ag 3.34, 8 Cu 3.45
Cu 0.0000 0.0000 0.5000  2 In 2.36
Cu 0.5000 0.0000 0.0000  2 In 2.36
Ag 0.0000 0.5000 0.0000  2 In 2.52
In 0.0000 0.0000 0.0000  4 Cu 2.36, 2 Ag 2.52

Properties
E_form	1.75	eV/atom
calculated volume	22.5	Å³/atom
symmetry	P4/mmm (123)
total magnetic moment	4.0	μB/cell

---

No. 4
## Ca2AcSm (PBE)

Data for crystalline Ca2AcSm at its relaxed geometry.

a = 3.7169 Å, b = 3.7169 Å, c = 13.7828 Å
α = 82.25°, β = 82.25°, γ = 60.00°
Last column: nearest neighbours and their distance in Å.
Element x y z (fractional)
Ac 0.5000 0.5000 0.5000  6 Ac 3.72, 6 Ca 3.93
Ca 0.0861 0.0861 0.7418  1 Sm 3.51, 6 Ca 3.72, 3 Ac 3.93
Ca 0.9139 0.9139 0.2582  1 Sm 3.51, 6 Ca 3.72, 3 Ac 3.93
Sm 0.0000 0.0000 0.0000  2 Ca 3.51, 6 Sm 3.72

Properties
E_form	0.23	eV/atom
E above lowest polymorph	195	meV per atom
calculated volume	40.7	Å³/atom
symmetry	R-3m (166)
total magnetic moment	0.7	μB/cell